(1)
An optimized crystal structure of Cs2CaPtO6, computed with PBE.

Calculated values
Formation energy without anion corrections = -1.08 eV/atom
Total energy = -5.03 eV/atom
Fermi-level density of states = 0.6815 states/eV per atom
Spin magnetization = 0.0000 μB/atom

Lattice parameters (Å, degrees): 6.1270 6.1270 6.1270 60.00 60.00 60.00
Element x y z (fractional)
Cs1 0.7500 0.7500 0.7500
Cs2 0.2500 0.2500 0.2500
Ca1 0.5000 0.5000 0.5000
Pt1 0.0000 0.0000 0.0000
O1 0.2242 0.7758 0.7758
O2 0.2242 0.7758 0.2242
O3 0.2242 0.2242 0.7758
O4 0.7758 0.7758 0.2242
O5 0.7758 0.2242 0.2242
O6 0.7758 0.2242 0.7758


(2)
An optimized crystal structure of Cs2Ca2PuO6, computed with PBE.

Calculated values
Formation energy without anion corrections = -2.48 eV/atom
Total energy = -7.01 eV/atom
Fermi-level density of states = 0.7189 states/eV per atom
Spin magnetization = 0.1818 μB/atom

Lattice parameters (Å, degrees): 6.0225 6.0225 7.2854 98.69 98.69 119.12
Each line ends with the local moment (μB).
Element x y z (fractional)
Cs1 0.8293 0.1707 0.0000  0.00
Cs2 0.1707 0.8293 0.0000  0.00
Ca1 0.3354 0.6646 0.5000  0.00
Ca2 0.6646 0.3354 0.5000  0.00
Pu1 0.0000 0.0000 0.5000  2.46
O1 0.7651 0.7651 0.6594  -0.07
O2 0.0506 0.3502 0.6583  -0.07
O3 0.2349 0.2349 0.3406  -0.07
O4 0.3502 0.0506 0.6583  -0.07
O5 0.9494 0.6498 0.3417  -0.07
O6 0.6498 0.9494 0.3417  -0.07


(3)
An optimized crystal structure of Cs4CaPu3O12, computed with PBE.

Calculated values
Formation energy without anion corrections = -2.41 eV/atom
Total energy = -7.81 eV/atom
Fermi-level density of states = 0.2079 states/eV per atom
Spin magnetization = 0.3000 μB/atom

Lattice parameters (Å, degrees): 7.6520 7.6520 7.6520 109.47 109.47 109.47
Each line ends with the local moment (μB).
Element x y z (fractional)
Cs1 0.5000 0.5000 0.5000  0.00
Cs2 0.0000 0.0000 0.5000  0.00
Cs3 0.5000 0.0000 0.0000  0.00
Cs4 0.0000 0.5000 0.0000  0.00
Ca1 0.0000 0.0000 0.0000  -0.01
Pu1 0.5000 0.0000 0.5000  2.53
Pu2 0.5000 0.5000 0.0000  2.53
Pu3 0.0000 0.5000 0.5000  2.53
O1 0.2500 0.5000 0.7500  -0.13
O2 0.7198 0.0000 0.7198  -0.12
O3 0.2802 0.0000 0.2802  -0.12
O4 0.7500 0.5000 0.2500  -0.13
O5 0.7198 0.7198 0.0000  -0.12
O6 0.2802 0.2802 0.0000  -0.12
O7 0.7500 0.2500 0.5000  -0.13
O8 0.2500 0.7500 0.5000  -0.13
O9 0.5000 0.2500 0.7500  -0.13
O10 0.0000 0.7198 0.7198  -0.12
O11 0.5000 0.7500 0.2500  -0.13
O12 0.0000 0.2802 0.2802  -0.12


(4)
An optimized crystal structure of Cs2CaPuO6, computed with PBE.

Calculated values
Formation energy without anion corrections = -2.20 eV/atom
Total energy = -6.98 eV/atom
Fermi-level density of states = 0.4520 states/eV per atom
Spin magnetization = 0.0000 μB/atom

Lattice parameters (Å, degrees): 6.3102 6.3102 6.3102 60.00 60.00 60.00
Element x y z (fractional)
Cs1 0.7500 0.7500 0.7500
Cs2 0.2500 0.2500 0.2500
Ca1 0.5000 0.5000 0.5000
Pu1 0.0000 0.0000 0.0000
O1 0.2237 0.7763 0.7763
O2 0.2237 0.7763 0.2237
O3 0.2237 0.2237 0.7763
O4 0.7763 0.7763 0.2237
O5 0.7763 0.2237 0.2237
O6 0.7763 0.2237 0.7763


(5)
An optimized crystal structure of Cs3CaPu2O9, computed with PBE.

Calculated values
Formation energy without anion corrections = -2.33 eV/atom
Total energy = -7.52 eV/atom
Fermi-level density of states = 0.4362 states/eV per atom
Spin magnetization = 0.2000 μB/atom

Lattice parameters (Å, degrees): 6.2620 6.2620 7.6897 90.00 90.00 120.00
Each line ends with the local moment (μB).
Element x y z (fractional)
Cs1 0.3333 0.6667 0.6577  0.00
Cs2 0.0000 0.0000 0.0000  0.00
Cs3 0.6667 0.3333 0.3423  0.00
Ca1 0.0000 0.0000 0.5000  -0.01
Pu1 0.3333 0.6667 0.1583  2.04
Pu2 0.6667 0.3333 0.8417  2.04
O1 0.8163 0.1837 0.6914  -0.11
O2 0.8163 0.6326 0.6914  -0.11
O3 0.3674 0.1837 0.6914  -0.11
O4 0.6326 0.8163 0.3086  -0.11
O5 0.1837 0.3674 0.3086  -0.11
O6 0.1837 0.8163 0.3086  -0.11
O7 0.5000 0.0000 0.0000  -0.11
O8 0.0000 0.5000 0.0000  -0.11
O9 0.5000 0.5000 0.0000  -0.11


(6)
An optimized crystal structure of Cs2CaReO6, computed with PBE.

Calculated values
Formation energy without anion corrections = -1.77 eV/atom
Total energy = -6.36 eV/atom
Fermi-level density of states = 0.2841 states/eV per atom
Spin magnetization = 0.1035 μB/atom

Lattice parameters (Å, degrees): 5.9272 6.7216 6.7216 120.00 90.00 90.00
Each line ends with the local moment (μB).
Element x y z (fractional)
Cs1 0.1460 0.3333 0.6667  0.00
Cs2 0.8540 0.6667 0.3333  0.00
Ca1 0.5000 0.0000 0.0000  -0.01
Re1 0.0000 0.0000 0.0000  -0.10
O1 0.8071 0.1306 0.2611  0.16
O2 0.8071 0.1306 0.8694  0.16
O3 0.8071 0.7389 0.8694  0.16
O4 0.1929 0.8694 0.1306  0.16
O5 0.1929 0.2611 0.1306  0.16
O6 0.1929 0.8694 0.7389  0.16


(7)
An optimized crystal structure of Cs2Ca2ReO6, computed with PBE.

Calculated values
Formation energy without anion corrections = -2.07 eV/atom
Total energy = -6.42 eV/atom
Fermi-level density of states = 0.5356 states/eV per atom
Spin magnetization = 0.0921 μB/atom

Lattice parameters (Å, degrees): 5.8478 5.8478 7.1476 98.05 98.05 119.02
Each line ends with the local moment (μB).
Element x y z (fractional)
Cs1 0.8311 0.1689 0.0000  0.00
Cs2 0.1689 0.8311 0.0000  0.00
Ca1 0.3355 0.6645 0.5000  0.01
Ca2 0.6645 0.3355 0.5000  0.01
Re1 0.0000 0.0000 0.5000  0.74
O1 0.7755 0.7755 0.6584  0.02
O2 0.0496 0.3335 0.6563  0.02
O3 0.2245 0.2245 0.3416  0.02
O4 0.3335 0.0496 0.6563  0.02
O5 0.9504 0.6665 0.3437  0.02
O6 0.6665 0.9504 0.3437  0.02


(8)
An optimized crystal structure of Cs2CaRhO4, computed with PBE.

Calculated values
Formation energy without anion corrections = -1.31 eV/atom
Total energy = -5.17 eV/atom
Spin magnetization = 0.3739 μB/atom

Lattice parameters (Å, degrees): 6.1418 7.6238 11.8825 84.02 75.02 66.25
Each line ends with the local moment (μB).
Element x y z (fractional)
Cs1 0.1853 0.0000 0.6294  0.01
Cs2 0.8147 0.0000 0.3706  0.01
Cs3 0.5647 0.5000 0.8706  0.01
Cs4 0.9353 0.5000 0.1294  0.01
Ca1 0.7500 0.5000 0.5000  0.01
Ca2 0.0000 0.0000 0.0000  0.01
Rh1 0.2500 0.5000 0.5000  1.59
Rh2 0.5000 0.0000 0.0000  1.59
O1 0.3626 0.8058 0.0285  0.27
O2 0.1969 0.1942 0.9715  0.27
O3 0.8316 0.8058 0.9715  0.27
O4 0.6089 0.1942 0.0285  0.27
O5 0.3874 0.6942 0.4715  0.27
O6 0.5531 0.3058 0.5285  0.27
O7 0.9184 0.6942 0.5285  0.27
O8 0.1411 0.3058 0.4715  0.27